(1)
# PBE-GGA Pm5Ho6Th2, optimized geometry
data_Pm5Ho6Th2
_symmetry_space_group_name_H-M 'P 1'
_symmetry_Int_Tables_number 1
_symmetry_space_group_name_Hall 'P 1'
_cell_length_a 5.360
_cell_length_b 12.654
_cell_length_c 12.652
_cell_angle_alpha 90.00
_cell_angle_beta 90.00
_cell_angle_gamma 90.00
loop_
_atom_site_label
_atom_site_type_symbol
_atom_site_fract_x
_atom_site_fract_y
_atom_site_fract_z
_atom_site_occupancy
Pm1 Pm 0.500 0.386 0.392 1
Pm2 Pm 0.500 0.614 0.608 1
Pm3 Pm 0.500 0.886 0.108 1
Pm4 Pm 0.500 0.114 0.892 1
Pm5 Pm 0.500 0.589 0.227 1
Pm6 Pm 0.500 0.411 0.773 1
Pm7 Pm 0.500 0.089 0.273 1
Pm8 Pm 0.500 0.911 0.727 1
Pm9 Pm 0.500 0.500 0.000 1
Pm10 Pm 0.500 0.000 0.500 1
Ho1 Ho 0.000 0.188 0.416 1
Ho2 Ho 0.000 0.812 0.584 1
Ho3 Ho 0.000 0.688 0.084 1
Ho4 Ho 0.000 0.312 0.916 1
Ho5 Ho 0.500 0.277 0.103 1
Ho6 Ho 0.500 0.723 0.897 1
Ho7 Ho 0.500 0.777 0.397 1
Ho8 Ho 0.500 0.223 0.603 1
Ho9 Ho 0.000 0.600 0.397 1
Ho10 Ho 0.000 0.400 0.603 1
Ho11 Ho 0.000 0.100 0.103 1
Ho12 Ho 0.000 0.900 0.897 1
Th1 Th 0.000 0.408 0.194 1
Th2 Th 0.000 0.592 0.806 1
Th3 Th 0.000 0.908 0.306 1
Th4 Th 0.000 0.092 0.694 1
# SG ... No. 55
# Electronic total energy ... -0.3620 Ry per atom

(2)
# PBE-GGA Ac2Mg5Ge4, optimized geometry
data_Ac2Mg5Ge4
_symmetry_space_group_name_H-M 'P 1'
_symmetry_Int_Tables_number 1
_symmetry_space_group_name_Hall 'P 1'
_cell_length_a 6.282
_cell_length_b 6.489
_cell_length_c 8.264
_cell_angle_alpha 79.40
_cell_angle_beta 67.66
_cell_angle_gamma 61.05
loop_
_atom_site_label
_atom_site_type_symbol
_atom_site_fract_x
_atom_site_fract_y
_atom_site_fract_z
_atom_site_occupancy
Ac1 Ac 0.853 0.000 0.293 1
Ac2 Ac 0.147 0.000 0.707 1
Mg1 Mg 0.500 0.000 0.000 1
Mg2 Mg 0.000 0.500 0.000 1
Mg3 Mg 0.500 0.500 0.000 1
Mg4 Mg 0.250 0.500 0.500 1
Mg5 Mg 0.750 0.500 0.500 1
Ge1 Ge 0.522 0.245 0.710 1
Ge2 Ge 0.478 0.755 0.290 1
Ge3 Ge 0.232 0.245 0.290 1
Ge4 Ge 0.768 0.755 0.710 1
# SG ... No. 69
# Electronic total energy ... -0.2571 Ry per atom

(3)
# PBE-GGA ScZn17Hg, optimized geometry
data_ScZn17Hg
_symmetry_space_group_name_H-M 'P 1'
_symmetry_Int_Tables_number 1
_symmetry_space_group_name_Hall 'P 1'
_cell_length_a 6.804
_cell_length_b 6.804
_cell_length_c 6.804
_cell_angle_alpha 81.61
_cell_angle_beta 81.61
_cell_angle_gamma 81.61
loop_
_atom_site_label
_atom_site_type_symbol
_atom_site_fract_x
_atom_site_fract_y
_atom_site_fract_z
_atom_site_occupancy
Sc1 Sc 0.333 0.333 0.333 1
Zn1 Zn 0.319 0.000 0.697 1
Zn2 Zn 0.697 0.319 0.000 1
Zn3 Zn 0.000 0.697 0.319 1
Zn4 Zn 0.319 0.697 0.000 1
Zn5 Zn 0.000 0.319 0.697 1
Zn6 Zn 0.697 0.000 0.319 1
Zn7 Zn 0.346 0.851 0.346 1
Zn8 Zn 0.346 0.346 0.851 1
Zn9 Zn 0.851 0.346 0.346 1
Zn10 Zn 0.654 0.154 0.654 1
Zn11 Zn 0.654 0.654 0.154 1
Zn12 Zn 0.154 0.654 0.654 1
Zn13 Zn 0.012 0.506 0.012 1
Zn14 Zn 0.012 0.012 0.506 1
Zn15 Zn 0.506 0.012 0.012 1
Zn16 Zn 0.904 0.904 0.904 1
Zn17 Zn 0.101 0.101 0.101 1
Hg1 Hg 0.594 0.594 0.594 1
# SG ... No. 160
# Electronic total energy ... -0.1129 Ry per atom

> Among the records above, which one has the highest electronic total energy?

ScZn17Hg

> Which of these has the lowest electronic total energy?

Pm5Ho6Th2

> Number 2 is which compound?

Ac2Mg5Ge4